Record 1
Compound: InIrPt2
Source: Alexandria via LeMat-Bulk
Functional: meta-GGA SCAN
Structure: PBEsol geometry

Results
For the energy relative to the elements, the calculation gives -0.074 eV/atom.

Cell lengths 4.0339, 4.0339, 4.8039 Å; angles 114.83, 114.83, 90.00 degrees
Closest atoms and distances in Å follow each position.
Positions (direct):
In: 0.5000 0.5000 0.0000  8 Pt 2.79-2.85, 4 Ir 2.79
Ir: 0.2500 0.7500 0.5000  4 In 2.79, 8 Pt 2.79-2.85
Pt: 0.0000 0.0000 0.0000  4 Ir 2.79, 4 Pt 2.79, 4 In 2.85
Pt: 0.7500 0.2500 0.5000  4 In 2.79, 4 Pt 2.79, 4 Ir 2.85

Record 2
Compound: Rb3InIr
Source: Alexandria via LeMat-Bulk
Functional: meta-GGA SCAN
Structure: PBEsol geometry

Results
For the energy relative to the elements, the calculation gives 0.812 eV/atom.

Cell lengths 6.1745, 6.1745, 6.1745 Å; angles 90.00, 90.00, 90.00 degrees
Closest atoms and distances in Å follow each position.
Positions (direct):
Ir: 0.0000 0.0000 0.0000  6 Rb 3.09
Rb: 0.0000 0.5000 0.0000  2 Ir 3.09
Rb: 0.0000 0.0000 0.5000  2 Ir 3.09
Rb: 0.5000 0.0000 0.0000  2 Ir 3.09
In: 0.5000 0.5000 0.5000  12 Rb 4.37

Record 3
Compound: InReIr2
Source: Alexandria via LeMat-Bulk
Functional: meta-GGA SCAN
Structure: PBEsol geometry

Results
For the energy relative to the elements, the calculation gives 0.450 eV/atom. The calculation puts the excess energy over the best structure of this formula in the dataset at 0.026 eV per atom.

Cell lengths 2.8432, 4.6058, 4.7370 Å; angles 90.00, 90.00, 90.00 degrees
Closest atoms and distances in Å follow each position.
Positions (direct):
In: 0.0000 0.5000 0.5000  4 Ir 2.71, 4 Re 2.76, 2 In 2.84
Ir: 0.0000 0.0000 0.0000  4 Re 2.71, 6 Ir 2.76-2.84
Ir: 0.5000 0.0000 0.5000  4 In 2.71, 6 Ir 2.76-2.84
Re: 0.5000 0.5000 0.0000  4 Ir 2.71, 4 In 2.76, 2 Re 2.84

Record 4
Compound: InReIr2
Source: Alexandria via LeMat-Bulk
Functional: meta-GGA SCAN
Structure: PBEsol geometry

Results
For the energy relative to the elements, the calculation gives 0.423 eV/atom. The calculation puts the excess energy over the best structure of this formula in the dataset at 0.000 eV per atom.

Cell lengths 4.4565, 4.4565, 4.4565 Å; angles 60.00, 60.00, 60.00 degrees
Closest atoms and distances in Å follow each position.
Positions (direct):
In: 0.0000 0.0000 0.0000  8 Ir 2.73
Ir: 0.2500 0.2500 0.2500  4 In 2.73, 4 Re 2.73
Ir: 0.7500 0.7500 0.7500  4 In 2.73, 4 Re 2.73
Re: 0.5000 0.5000 0.5000  8 Ir 2.73

Record 5
Compound: InIrRh
Source: Alexandria via LeMat-Bulk
Functional: meta-GGA SCAN
Structure: PBEsol geometry

Results
For the energy relative to the elements, the calculation gives 0.568 eV/atom. The calculation puts the excess energy over the best structure of this formula in the dataset at 0.491 eV per atom.

Cell lengths 4.2639, 4.2639, 4.2639 Å; angles 60.00, 60.00, 60.00 degrees
Closest atoms and distances in Å follow each position.
Positions (direct):
In: 0.2500 0.2500 0.2500  4 Rh 2.61, 4 Ir 2.61
Ir: 0.0000 0.0000 0.0000  4 In 2.61
Rh: 0.5000 0.5000 0.5000  4 In 2.61

Record 6
Compound: InIrRh
Source: Alexandria via LeMat-Bulk
Functional: meta-GGA SCAN
Structure: PBEsol geometry

Results
For the energy relative to the elements, the calculation gives 0.077 eV/atom. The calculation puts the excess energy over the best structure of this formula in the dataset at 0.000 eV per atom.

Cell lengths 2.8381, 3.8696, 4.8782 Å; angles 113.37, 106.91, 90.00 degrees
Closest atoms and distances in Å follow each position.
Positions (direct):
In: 0.9998 0.9998 0.9996  5 Ir 2.79-2.81, 5 Rh 2.80, 2 In 2.84
Ir: 0.6711 0.6711 0.3423  5 Rh 2.75-2.91, 5 In 2.79-2.81, 2 Ir 2.84
Rh: 0.3291 0.3291 0.6581  5 Ir 2.75-2.91, 5 In 2.80, 2 Rh 2.84

Record 7
Compound: InIr2Ru
Source: Alexandria via LeMat-Bulk
Functional: meta-GGA SCAN
Structure: PBEsol geometry

Results
For the energy relative to the elements, the calculation gives 0.085 eV/atom.

Cell lengths 3.9191, 3.9191, 4.7891 Å; angles 114.15, 114.15, 90.00 degrees
Closest atoms and distances in Å follow each position.
Positions (direct):
In: 0.0000 0.0000 0.0000  8 Ir 2.77, 4 Ru 2.77
Ir: 0.7500 0.2500 0.5000  4 Ru 2.77, 4 In 2.77, 4 Ir 2.77
Ir: 0.2500 0.7500 0.5000  4 Ru 2.77, 4 In 2.77, 4 Ir 2.77
Ru: 0.5000 0.5000 0.0000  8 Ir 2.77, 4 In 2.77

Record 8
Compound: InIr2Ru
Source: Alexandria via LeMat-Bulk
Functional: meta-GGA SCAN
Structure: PBEsol geometry

Results
For the energy relative to the elements, the calculation gives 0.291 eV/atom.

Cell lengths 2.7938, 4.6549, 5.4412 Å; angles 115.32, 104.88, 90.00 degrees
Closest atoms and distances in Å follow each position.
Positions (direct):
In: 0.0000 0.5000 0.0000  4 Ru 2.71, 2 In 2.79, 4 Ir 2.85
Ir: 0.7635 0.7635 0.5270  2 Ru 2.63, 6 Ir 2.73-2.79, 2 In 2.85
Ir: 0.2365 0.2365 0.4730  2 Ru 2.63, 6 Ir 2.73-2.79, 2 In 2.85
Ru: 0.5000 0.0000 0.0000  4 Ir 2.63, 4 In 2.71, 2 Ru 2.79

> energy relative to the elements of number 5 (InIrRh)?

0.568 eV/atom

> Look up the energy relative to the elements of the first one.

-0.074 eV/atom